DFT (PBE-GGA) results for a relaxed TiCoNi2H crystal.

relative energy among the computed polymorphs: 0.0000 eV/atom
crystal system: tetragonal
total magnetization: 0.00 μB per formula unit

Lattice parameters (Å, degrees): 3.595 3.595 3.754 90.00 90.00 90.00
Sites, in units of the cell vectors:
Ni: 0.000 0.500 0.000
Ni: 0.500 0.000 0.000
Ti: 0.500 0.500 0.500
Co: 0.000 0.000 0.500
H: 0.000 0.000 0.000